Material: MnIN2O
Method: DFT, PBE+U
State: optimized geometry

POSCAR file:
```
MnIN2O
1.0
-3.605 -0.100 -1.934
-1.835 -1.130 3.479
-0.654 4.149 1.003
I Mn O N
1 1 1 2
Direct
0.000 0.000 0.500
0.500 0.500 0.500
0.000 0.000 0.000
0.000 0.500 0.000
0.500 0.000 0.000
```

* symmetry: P4/mmm
* M_tot: 3.17 μB per cell
* E_tot: -20.83 eV per cell
* calculated volume: 72 Å³/f.u.